# 1
# Dy6TlIn6, relaxed, DFT PBE-GGA
# ΔH_f (0 K) = -375 kJ/mol of formula units
# Mass density = 8431 kg/m³
# Crystal system = hexagonal
data_Dy6TlIn6
_chemical_formula_sum 'Dy6 Tl1 In6'
_space_group_name_H-M_alt 'P 6/m m m'
_space_group_IT_number 191
_space_group_name_Hall '-P 6 2'
_cell_length_a 6.3542
_cell_length_b 6.3542
_cell_length_c 10.5229
_cell_angle_alpha 90.00
_cell_angle_beta 90.00
_cell_angle_gamma 120.00
loop_
_atom_site_label
_atom_site_type_symbol
_atom_site_fract_x
_atom_site_fract_y
_atom_site_fract_z
Dy1 Dy 0.0000 0.0000 0.1812
Dy2 Dy 0.3333 0.6667 0.0000
Dy3 Dy 0.3333 0.6667 0.5000
Tl1 Tl 0.0000 0.0000 0.5000
In1 In 0.0000 0.5000 0.2498

=====

# 2
# DyTl2In, relaxed, DFT PBE-GGA
# ΔH_f (0 K) = -50 kJ/mol of formula units
# Mass density = 10373 kg/m³
# Crystal system = tetragonal
data_DyTl2In
_chemical_formula_sum 'Dy1 Tl2 In1'
_space_group_name_H-M_alt 'P 4/m m m'
_space_group_IT_number 123
_space_group_name_Hall '-P 4 2'
_cell_length_a 3.9723
_cell_length_b 3.9723
_cell_length_c 6.9604
_cell_angle_alpha 90.00
_cell_angle_beta 90.00
_cell_angle_gamma 90.00
loop_
_atom_site_label
_atom_site_type_symbol
_atom_site_fract_x
_atom_site_fract_y
_atom_site_fract_z
Dy1 Dy 0.0000 0.0000 0.0000
Tl1 Tl 0.5000 0.5000 0.2554
In1 In 0.0000 0.0000 0.5000

=====

Number 1: total moment 0.00 μB/cell. Number 2: total moment 0.00 μB/cell.